Below is a PBEsol-optimized structure of TiSCl6O, with properties calculated at the SCAN level.

Cell: 6.2671 7.8832 11.0459 Å, 69.39 86.44 67.00°
Closest atoms and distances in Å follow each position.
Fractional positions:
1 Ti 0.1559 0.2702 0.1450  5 Cl 2.19-2.45, 1 O 2.21
2 Ti 0.8441 0.7298 0.8550  5 Cl 2.19-2.45, 1 O 2.21
3 S 0.3392 0.5174 0.6991  1 O 1.47
4 S 0.6608 0.4826 0.3009  1 O 1.47
5 Cl 0.0925 0.6191 0.0532  2 Ti 2.45
6 Cl 0.1064 0.9886 0.2090  1 Ti 2.22
7 Cl 0.2307 0.7227 0.5132  1 S 2.07
8 Cl 0.2316 0.3110 0.6831  1 S 2.05
9 Cl 0.3053 0.2500 0.3293  1 Ti 2.22
10 Cl 0.4788 0.1825 0.0509  1 Ti 2.19
11 Cl 0.5212 0.8175 0.9491  1 Ti 2.19
12 Cl 0.6947 0.7500 0.6707  1 Ti 2.22
13 Cl 0.7684 0.6890 0.3169  1 S 2.05
14 Cl 0.7693 0.2773 0.4868  1 S 2.07
15 Cl 0.8936 0.0114 0.7910  1 Ti 2.22
16 Cl 0.9075 0.3809 0.9468  2 Ti 2.45
17 O 0.1912 0.6059 0.7873  1 S 1.47
18 O 0.8088 0.3941 0.2127  1 S 1.47

Summary:
**Theoretical density**: 2.189 Mg/m³
**Space-group type**: No. 2
**Formation energy without anion corrections**: -11.2 eV/f.u.
**E_tot**: -10.11 eV per atom



Below is a PBEsol-optimized structure of Ba2Li2Tl, with properties calculated at the SCAN level.

Cell: 7.6176 7.6176 5.5146 Å, 90.00 90.00 90.00°
Closest atoms and distances in Å follow each position.
Fractional positions:
1 Ba 0.1963 0.3037 0.0000  2 Li 3.32
2 Ba 0.3037 0.8037 0.0000  2 Li 3.32
3 Ba 0.6963 0.1963 0.0000  2 Li 3.32
4 Ba 0.8037 0.6963 0.0000  2 Li 3.32
5 Li 0.1320 0.6320 0.5000  1 Li 2.84, 2 Tl 2.98
6 Li 0.3680 0.1320 0.5000  1 Li 2.84, 2 Tl 2.98
7 Li 0.6320 0.8680 0.5000  1 Li 2.84, 2 Tl 2.98
8 Li 0.8680 0.3680 0.5000  1 Li 2.84, 2 Tl 2.98
9 Tl 0.0000 0.0000 0.5000  4 Li 2.98
10 Tl 0.5000 0.5000 0.5000  4 Li 2.98

Summary:
**Energy relative to the elements**: -0.90 eV/f.u.
**Theoretical density**: 5.116 Mg/m³
**Space-group type**: No. 127
**E_tot**: -31.43 eV per atom



Below is a PBEsol-optimized structure of Na2NbTc, with properties calculated at the SCAN level.

Cell: 4.7535 4.7535 4.7535 Å, 60.00 60.00 60.00°
Closest atoms and distances in Å follow each position.
Fractional positions:
1 Na 0.2500 0.2500 0.2500  4 Nb 2.91, 4 Tc 2.91
2 Na 0.7500 0.7500 0.7500  4 Nb 2.91, 4 Tc 2.91
3 Nb 0.0000 0.0000 0.0000  8 Na 2.91
4 Tc 0.5000 0.5000 0.5000  8 Na 2.91

Summary:
**Energy relative to the elements**: 5.76 eV/f.u.
**Theoretical density**: 5.179 Mg/m³
**Space-group type**: No. 225
**E_tot**: -17.72 eV per atom



Below is a PBEsol-optimized structure of LiBiP2O7, with properties calculated at the SCAN level.

Cell: 5.5259 5.5259 4.6178 Å, 95.47 95.47 106.03°
Closest atoms and distances in Å follow each position.
Fractional positions:
1 Li 0.0000 0.0000 0.0000  6 O 2.09-2.26
2 Bi 0.6186 0.3814 0.0000  6 O 2.28-2.39
3 P 0.0979 0.4580 0.5827  4 O 1.53-1.61
4 P 0.5420 0.9021 0.4173  4 O 1.53-1.61
5 O 0.1963 0.2797 0.7637  1 P 1.53
6 O 0.3552 0.6448 0.5000  2 P 1.61
7 O 0.3872 0.0453 0.2454  1 P 1.53
8 O 0.6777 0.0487 0.7138  1 P 1.53
9 O 0.7203 0.8037 0.2363  1 P 1.53
10 O 0.9513 0.3223 0.2862  1 P 1.53
11 O 0.9547 0.6128 0.7546  1 P 1.53

Summary:
**Theoretical density**: 4.838 Mg/m³
**Space-group type**: No. 5
**Formation energy without anion corrections**: -24.5 eV/f.u.
**E_tot**: -15.45 eV per atom



Below is a PBEsol-optimized structure of YMoAu2, with properties calculated at the SCAN level.

Cell: 3.4907 3.4907 6.2154 Å, 90.00 90.00 90.00°
Closest atoms and distances in Å follow each position.
Fractional positions:
1 Y 0.0000 0.0000 0.0000  6 Au 2.93-3.14, 4 Mo 3.08
2 Mo 0.5000 0.5000 0.7030  5 Au 2.76-2.78, 4 Y 3.08
3 Au 0.0000 0.0000 0.5052  4 Mo 2.76, 4 Au 2.92, 1 Y 3.08
4 Au 0.5000 0.5000 0.2550  1 Mo 2.78, 4 Au 2.92, 4 Y 2.93

Summary:
**Energy relative to the elements**: -0.68 eV/f.u.
**Theoretical density**: 12.690 Mg/m³
**Space-group type**: No. 99
**E_tot**: -50.43 eV per atom



Below is a PBEsol-optimized structure of Li2NdPb, with properties calculated at the SCAN level.

Cell: 4.8904 4.8904 4.8904 Å, 60.00 60.00 60.00°
Closest atoms and distances in Å follow each position.
Fractional positions:
1 Li 0.2500 0.2500 0.2500  4 Pb 2.99, 4 Nd 2.99
2 Li 0.7500 0.7500 0.7500  4 Pb 2.99, 4 Nd 2.99
3 Nd 0.0000 0.0000 0.0000  8 Li 2.99
4 Pb 0.5000 0.5000 0.5000  8 Li 2.99

Summary:
**Energy relative to the elements**: -1.98 eV/f.u.
**Theoretical density**: 7.335 Mg/m³
**Space-group type**: No. 225
**E_tot**: -31.53 eV per atom



Below is a PBEsol-optimized structure of Dy2Pt, with properties calculated at the SCAN level.

Cell: 7.0180 4.6959 8.6711 Å, 90.00 90.00 90.00°
Closest atoms and distances in Å follow each position.
Fractional positions:
1 Dy 0.0090 0.2500 0.1697  3 Pt 2.79-3.01
2 Dy 0.1458 0.2500 0.5814  4 Pt 2.84-2.91
3 Dy 0.3542 0.7500 0.0814  4 Pt 2.84-2.91
4 Dy 0.4910 0.7500 0.6697  3 Pt 2.79-3.01
5 Dy 0.5090 0.2500 0.3303  3 Pt 2.79-3.01
6 Dy 0.6458 0.2500 0.9186  4 Pt 2.84-2.91
7 Dy 0.8542 0.7500 0.4186  4 Pt 2.84-2.91
8 Dy 0.9910 0.7500 0.8303  3 Pt 2.79-3.01
9 Pt 0.2410 0.2500 0.9079  7 Dy 2.79-3.01
10 Pt 0.2590 0.7500 0.4079  7 Dy 2.79-3.01
11 Pt 0.7410 0.2500 0.5921  7 Dy 2.79-3.01
12 Pt 0.7590 0.7500 0.0921  7 Dy 2.79-3.01

Summary:
**Energy relative to the elements**: -3.53 eV/f.u.
**Theoretical density**: 12.089 Mg/m³
**Space-group type**: No. 62
**E_tot**: -56.44 eV per atom



Below is a PBEsol-optimized structure of BeWCl2, with properties calculated at the SCAN level.

Cell: 5.6894 5.6894 5.6894 Å, 144.69 144.69 50.80°
Closest atoms and distances in Å follow each position.
Fractional positions:
1 Be 0.0000 0.0000 0.0000  4 Cl 2.44
2 W 0.2500 0.7500 0.5000  4 Cl 2.44
3 Cl 0.5000 0.5000 0.0000  4 Be 2.44
4 Cl 0.7500 0.2500 0.5000  4 W 2.44

Summary:
**Theoretical density**: 7.154 Mg/m³
**Space-group type**: No. 119
**Formation energy without anion corrections**: 4.7 eV/f.u.
**E_tot**: -21.32 eV per atom



Below is a PBEsol-optimized structure of NaCu4Sb2, with properties calculated at the SCAN level.

Cell: 8.7139 8.7139 8.7139 Å, 27.96 27.96 27.96°
Closest atoms and distances in Å follow each position.
Fractional positions:
1 Na 0.0000 0.0000 0.0000  6 Sb 3.22, 2 Cu 3.60
2 Cu 0.1434 0.1434 0.1434  6 Cu 2.52-2.70, 1 Sb 2.65
3 Cu 0.4504 0.4504 0.4504  4 Cu 2.49-2.52, 3 Sb 2.57
4 Cu 0.5496 0.5496 0.5496  4 Cu 2.49-2.52, 3 Sb 2.57
5 Cu 0.8566 0.8566 0.8566  6 Cu 2.52-2.70, 1 Sb 2.65
6 Sb 0.2490 0.2490 0.2490  7 Cu 2.57-2.85
7 Sb 0.7510 0.7510 0.7510  7 Cu 2.57-2.85

Summary:
**Theoretical density**: 6.730 Mg/m³
**Space-group type**: No. 166
**Formation energy without anion corrections**: -0.9 eV/f.u.
**E_tot**: -20.06 eV per atom



Below is a PBEsol-optimized structure of Hg2MoAs, with properties calculated at the SCAN level.

Cell: 2.8758 4.6692 5.7019 Å, 90.00 104.12 90.00°
Closest atoms and distances in Å follow each position.
Fractional positions:
1 Hg 0.0000 0.0000 0.0000  6 Hg 2.88-3.15, 3 As 2.90-3.00, 4 Mo 3.08
2 Hg 0.3548 0.5000 0.7278  6 Hg 2.88-3.15, 3 Mo 2.91-2.99, 4 As 3.12-3.13
3 Mo 0.6242 0.5000 0.2541  2 As 2.59, 2 Mo 2.88
4 As 0.7269 0.0000 0.4568  2 Mo 2.59, 2 As 2.88, 1 Hg 2.90

Summary:
**Energy relative to the elements**: 1.92 eV/f.u.
**Theoretical density**: 12.793 Mg/m³
**Space-group type**: No. 6
**E_tot**: -47.37 eV per atom



Below is a PBEsol-optimized structure of SrTiMoS2, with properties calculated at the SCAN level.

Cell: 4.8728 4.8728 4.4416 Å, 90.00 90.00 90.00°
Closest atoms and distances in Å follow each position.
Fractional positions:
1 Sr 0.0000 0.0000 0.0000  8 S 3.30, 4 Mo 3.45
2 Ti 0.5000 0.5000 0.5000  2 Mo 2.22, 4 S 2.44
3 Mo 0.5000 0.5000 0.0000  2 Ti 2.22
4 S 0.0000 0.5000 0.5000  2 Ti 2.44
5 S 0.5000 0.0000 0.5000  2 Ti 2.44

Summary:
**Theoretical density**: 4.654 Mg/m³
**Space-group type**: No. 123
**Formation energy without anion corrections**: -1.8 eV/f.u.
**E_tot**: -18.85 eV per atom



Below is a PBEsol-optimized structure of YTlSe2Br, with properties calculated at the SCAN level.

Cell: 5.4006 5.4006 5.5609 Å, 90.00 90.00 90.00°
Closest atoms and distances in Å follow each position.
Fractional positions:
1 Y 0.0000 0.0000 0.0000  4 Se 2.70, 2 Br 2.78
2 Tl 0.5000 0.5000 0.5000  4 Br 3.82, 8 Se 3.88
3 Se 0.0000 0.5000 0.0000  2 Y 2.70
4 Se 0.5000 0.0000 0.0000  2 Y 2.70
5 Br 0.0000 0.0000 0.5000  2 Y 2.78

Summary:
**Theoretical density**: 5.438 Mg/m³
**Space-group type**: No. 123
**Formation energy without anion corrections**: -5.8 eV/f.u.
**E_tot**: -33.12 eV per atom